Entry 1:
Computed, not measured: a geometry-optimized Mg17Pb2 structure at the PBE level of DFT.

Formation energy from the elements   0.07 eV/atom

POSCAR file:
```
Mg17Pb2
1.0
5.134 2.964 5.220
-5.134 2.964 5.220
0.000 -5.929 5.220
Mg Pb
17 2
Cartesian
-5.134 0.000 7.829
-1.590 -3.175 5.220
-2.567 1.482 2.610
-3.544 0.210 5.220
0.000 0.000 1.493
-2.554 -1.475 7.672
1.590 -3.175 5.220
-1.954 2.964 5.220
0.000 -2.950 7.987
-2.554 1.475 7.987
2.567 1.482 2.610
2.554 -1.475 7.672
0.000 2.950 7.672
3.544 0.210 5.220
1.954 2.964 5.220
2.554 1.475 7.987
0.000 0.000 14.166
0.000 0.000 4.824
0.000 0.000 10.834
```

Entry 2:
Computed, not measured: a geometry-optimized Mg3Pb2 structure at the PBE level of DFT.

Formation energy from the elements   0.01 eV/atom
ΔE to the lowest computed polymorph   0.05 eV/f.u.

POSCAR file:
```
Mg3Pb2
1.0
-3.989 5.752 2.969
3.989 -5.752 2.969
3.989 5.752 -2.969
Mg Pb
6 4
Cartesian
5.038 1.104 0.000
0.000 0.000 1.484
1.049 4.649 0.000
2.941 1.104 2.969
0.000 0.000 4.453
-1.049 4.649 2.969
2.039 1.836 0.000
2.039 -1.836 2.969
1.951 7.588 0.000
1.951 3.916 2.969
```

Entry 3:
Computed, not measured: a geometry-optimized MgPb structure at the PBE level of DFT.

Formation energy from the elements   -0.03 eV/atom

POSCAR file:
```
MgPb
1.0
1.773 -5.894 0.000
1.773 5.894 0.000
0.000 0.000 5.124
Mg Pb
2 2
Cartesian
1.773 4.921 3.843
1.773 -4.921 1.281
1.773 1.765 3.843
1.773 -1.765 1.281
```

Entry 4:
Computed, not measured: a geometry-optimized MgPb5 structure at the PBE level of DFT.

Formation energy from the elements   0.04 eV/atom
ΔE to the lowest computed polymorph   0.33 eV/f.u.

POSCAR file:
```
MgPb5
1.0
-3.812 3.812 6.412
3.812 -3.812 6.412
3.812 3.812 -6.412
Mg Pb
2 10
Cartesian
0.000 0.000 3.206
0.000 0.000 9.618
0.000 0.000 0.000
4.983 1.171 -1.814
1.171 2.641 -1.814
4.983 1.171 1.814
1.171 2.641 1.814
0.000 0.000 6.412
2.641 1.171 4.598
-1.171 2.641 4.598
2.641 1.171 8.226
-1.171 2.641 8.226
```

Entry 5:
Computed, not measured: a geometry-optimized Mg3Pb4 structure at the PBE level of DFT.

Formation energy from the elements   -0.02 eV/atom
ΔE to the lowest computed polymorph   0.09 eV/f.u.

POSCAR file:
```
Mg3Pb4
1.0
-1.771 1.771 15.364
1.771 -1.771 15.364
1.771 1.771 -15.364
Mg Pb
3 4
Cartesian
0.000 0.000 0.000
0.000 0.000 8.609
0.000 0.000 22.119
0.000 0.000 4.771
0.000 0.000 13.304
0.000 0.000 17.424
0.000 0.000 25.957
```

Entry 6:
Computed, not measured: a geometry-optimized MgPb2 structure at the PBE level of DFT.

Formation energy from the elements   -0.01 eV/atom
ΔE to the lowest computed polymorph   0.06 eV/f.u.

POSCAR file:
```
MgPb2
1.0
6.621 0.000 0.000
0.000 5.123 0.000
0.000 0.000 10.018
Mg Pb
4 8
Cartesian
1.030 1.281 0.944
2.281 3.842 5.953
4.340 1.281 4.065
5.591 3.842 9.074
0.545 1.281 7.729
1.040 1.281 4.294
2.270 3.842 9.303
2.765 3.842 2.720
3.855 1.281 7.298
4.350 1.281 0.715
5.581 3.842 5.724
6.076 3.842 2.289
```

Entry 7:
Computed, not measured: a geometry-optimized Mg2Pb3 structure at the PBE level of DFT.

Formation energy from the elements   -0.01 eV/atom
ΔE to the lowest computed polymorph   0.20 eV/f.u.

POSCAR file:
```
Mg2Pb3
1.0
1.680 0.970 14.387
-1.680 0.970 14.387
0.000 -1.940 14.387
Mg Pb
2 3
Cartesian
0.000 0.000 4.409
0.000 0.000 38.753
0.000 0.000 12.702
0.000 0.000 21.581
0.000 0.000 30.460
```

Entry 8:
Computed, not measured: a geometry-optimized Mg2Pb3 structure at the PBE level of DFT.

Formation energy from the elements   -0.01 eV/atom
ΔE to the lowest computed polymorph   0.17 eV/f.u.

POSCAR file:
```
Mg2Pb3
1.0
5.136 0.000 0.000
-2.568 4.448 0.000
0.000 0.000 6.342
Mg Pb
2 3
Cartesian
0.000 2.965 2.185
2.568 1.483 4.157
0.000 0.000 3.171
0.000 2.965 5.405
2.568 1.483 0.938
```